# BaAc4Ge2 (PBE, relaxed)
data_BaAc4Ge2
_space_group_name_H-M_alt 'P 1'
_space_group_IT_number 1
_space_group_name_Hall 'P 1'
_cell_length_a 7.821
_cell_length_b 8.639
_cell_length_c 9.793
_cell_angle_alpha 110.30
_cell_angle_beta 107.12
_cell_angle_gamma 103.67
loop_
_atom_site_label
_atom_site_fract_x
_atom_site_fract_y
_atom_site_fract_z
Ba1 0.000 0.000 0.000
Ba2 0.223 0.725 0.448
Ac1 0.163 0.193 0.440
Ac2 0.475 0.085 0.869
Ac3 0.511 0.477 0.201
Ac4 0.525 0.579 0.821
Ac5 0.535 0.000 0.247
Ac6 0.828 0.939 0.579
Ac7 0.928 0.481 0.627
Ac8 0.946 0.476 0.007
Ge1 0.184 0.294 0.818
Ge2 0.589 0.200 0.629
Ge3 0.831 0.801 0.212
Ge4 0.844 0.314 0.237
# - Formation enthalpy at 0 K: -2.18 eV per formula unit

***

# RbMg (PBE, relaxed)
data_RbMg
_space_group_name_H-M_alt 'P n m a'
_space_group_IT_number 62
_space_group_name_Hall '-P 2ac 2n'
_cell_length_a 10.768
_cell_length_b 5.202
_cell_length_c 7.651
_cell_angle_alpha 90.00
_cell_angle_beta 90.00
_cell_angle_gamma 90.00
loop_
_atom_site_label
_atom_site_fract_x
_atom_site_fract_y
_atom_site_fract_z
Rb1 0.178 0.250 0.105
Mg1 0.027 0.250 0.600
# - Formation enthalpy at 0 K: 0.46 eV per formula unit

***

# NpCrRe (PBE, relaxed)
data_NpCrRe
_space_group_name_H-M_alt 'I 4 m m'
_space_group_IT_number 107
_space_group_name_Hall 'I 4 -2'
_cell_length_a 2.910
_cell_length_b 2.910
_cell_length_c 11.423
_cell_angle_alpha 90.00
_cell_angle_beta 90.00
_cell_angle_gamma 90.00
loop_
_atom_site_label
_atom_site_fract_x
_atom_site_fract_y
_atom_site_fract_z
Np1 0.000 0.000 0.000
Cr1 0.000 0.000 0.680
Re1 0.000 0.000 0.304
# - Formation enthalpy at 0 K: 0.83 eV per formula unit

***

# PrYHg4 (PBE, relaxed)
data_PrYHg4
_space_group_name_H-M_alt 'P m m m'
_space_group_IT_number 47
_space_group_name_Hall '-P 2 2'
_cell_length_a 4.559
_cell_length_b 4.571
_cell_length_c 8.711
_cell_angle_alpha 90.00
_cell_angle_beta 90.00
_cell_angle_gamma 90.00
loop_
_atom_site_label
_atom_site_fract_x
_atom_site_fract_y
_atom_site_fract_z
Pr1 0.000 0.000 0.000
Y1 0.500 0.500 0.500
Hg1 0.000 0.500 0.260
Hg2 0.500 0.000 0.261
# - Energy above the most stable polymorph in this dataset: 172 meV per atom
# - Formation enthalpy at 0 K: -1.12 eV per formula unit

***

# CaLa2Co (PBE, relaxed)
data_CaLa2Co
_space_group_name_H-M_alt 'C 1 2/m 1'
_space_group_IT_number 12
_space_group_name_Hall '-C 2y'
_cell_length_a 6.531
_cell_length_b 10.829
_cell_length_c 3.549
_cell_angle_alpha 90.00
_cell_angle_beta 115.24
_cell_angle_gamma 90.00
loop_
_atom_site_label
_atom_site_fract_x
_atom_site_fract_y
_atom_site_fract_z
Ca1 0.000 0.000 0.000
La1 0.250 0.250 0.500
Co1 0.000 0.500 0.000
# - Energy above the most stable polymorph in this dataset: 561 meV per atom
# - Formation enthalpy at 0 K: 1.96 eV per formula unit

***

# AsRhCl2 (PBE, relaxed)
data_AsRhCl2
_space_group_name_H-M_alt 'R -3 m'
_space_group_IT_number 166
_space_group_name_Hall '-R 3 2"'
_cell_length_a 3.3626
_cell_length_b 3.3626
_cell_length_c 25.7299
_cell_angle_alpha 90.00
_cell_angle_beta 90.00
_cell_angle_gamma 120.00
loop_
_atom_site_label
_atom_site_fract_x
_atom_site_fract_y
_atom_site_fract_z
As1 0.0000 0.0000 0.0000
Rh1 0.0000 0.0000 0.5000
Cl1 0.0000 0.0000 0.2238
# - Energy above the most stable polymorph in this dataset: 858 meV per atom
# - E_form (uncorrected): 0.26 eV per atom

***

# BaBe2Br (PBE, relaxed)
data_BaBe2Br
_space_group_name_H-M_alt 'F m -3 m'
_space_group_IT_number 225
_space_group_name_Hall '-F 4 2 3'
_cell_length_a 7.504
_cell_length_b 7.504
_cell_length_c 7.504
_cell_angle_alpha 90.00
_cell_angle_beta 90.00
_cell_angle_gamma 90.00
loop_
_atom_site_label
_atom_site_fract_x
_atom_site_fract_y
_atom_site_fract_z
Ba1 0.000 0.000 0.000
Be1 0.250 0.250 0.250
Br1 0.000 0.000 0.500
# - Energy above the most stable polymorph in this dataset: 674 meV per atom
# - E_form (uncorrected): 0.69 eV per atom

***

# KNi2Cl (PBE, relaxed)
data_KNi2Cl
_space_group_name_H-M_alt 'P 4 m m'
_space_group_IT_number 99
_space_group_name_Hall 'P 4 -2'
_cell_length_a 3.262
_cell_length_b 3.262
_cell_length_c 7.274
_cell_angle_alpha 90.00
_cell_angle_beta 90.00
_cell_angle_gamma 90.00
loop_
_atom_site_label
_atom_site_fract_x
_atom_site_fract_y
_atom_site_fract_z
K1 0.000 0.000 0.000
Ni1 0.000 0.000 0.464
Ni2 0.500 0.500 0.362
Cl1 0.500 0.500 0.732
# - Energy above the most stable polymorph in this dataset: 57 meV per atom
# - E_form (uncorrected): 0.03 eV per atom

***

Number 1: N(E_F) 1.30 states/eV/atom. Number 2: N(E_F) 0.63 states/eV/atom. Number 3: N(E_F) 2.01 states/eV/atom. Number 4: N(E_F) 0.66 states/eV/atom. Number 5: N(E_F) 1.77 states/eV/atom. Number 6: N(E_F) 0.92 states/eV/atom. Number 7: N(E_F) 0.73 states/eV/atom. Number 8: N(E_F) 1.37 states/eV/atom.